Entry from the Alexandria database: a relaxed Ba6As2PS crystal (GGA-PBE).

```
data_Ba6As2PS
_chemical_formula_sum 'Ba12 As4 P2 S2'
_symmetry_space_group_name_H-M 'P 1 21/c 1'
_symmetry_Int_Tables_number 14
_cell_length_a 7.827
_cell_length_b 8.720
_cell_length_c 14.020
_cell_angle_alpha 90.00
_cell_angle_beta 123.46
_cell_angle_gamma 90.00
loop_
_symmetry_equiv_pos_as_xyz
'x,y,z'
'-x,-y,-z'
'-x,y+1/2,-z+1/2'
'x,-y+1/2,z+1/2'
loop_
_atom_site_label
_atom_site_type_symbol
_atom_site_fract_x
_atom_site_fract_y
_atom_site_fract_z
Ba1 Ba 0.099 0.059 0.249
Ba2 Ba 0.258 0.692 0.076
Ba3 Ba 0.396 0.187 0.077
As1 As 0.297 0.097 0.750
P1 P 0.000 0.000 0.000
S1 S 0.500 0.000 0.500
```

## Properties
V: 399.2 Å³/f.u.
D(E_F): 7.1 states/eV per cell
E_tot: -4.200 eV per atom